PBE TaBeAs, relaxed; DFT total energy = -6.17 eV/atom; symmetry = No. 216
1.0
0.000 2.846 2.846
2.846 0.000 2.846
2.846 2.846 0.000
Ta Be As
1 1 1
direct
0.000 0.000 0.000 Ta
0.750 0.750 0.750 Be
0.500 0.500 0.500 As